! LiLaSb2Te, single point on PBEsol structure, DFT meta-GGA SCAN; values from VASP
&SYSTEM
  ibrav = 0, nat = 5, ntyp = 4
/
ATOMIC_SPECIES
La 138.91 La.upf
Te 127.60 Te.upf
Li 6.94 Li.upf
Sb 121.76 Sb.upf
ATOMIC_POSITIONS crystal
La 0.000 0.000 0.000
Te 0.000 0.000 0.500
Li 0.500 0.500 0.500
Sb 0.500 0.000 0.000
Sb 0.000 0.500 0.000
CELL_PARAMETERS angstrom
-5.632 1.654 1.180
-1.914 -3.148 -4.719
-0.689 -4.861 3.523
! Formation energy without anion corrections ... 0.27 eV per formula unit
! Space-group type ... P4/mmm (123)
! VASP energy ... -157.00 eV per cell
! Fermi-level density of states ... 0.794 states/eV/atom

=====

! CdTcAg4, single point on PBEsol structure, DFT meta-GGA SCAN; values from VASP
&SYSTEM
  ibrav = 0, nat = 6, ntyp = 3
/
ATOMIC_SPECIES
Cd 112.41 Cd.upf
Ag 107.87 Ag.upf
Tc 98.00 Tc.upf
ATOMIC_POSITIONS crystal
Cd 0.750 0.750 0.750
Ag 0.875 0.375 0.375
Ag 0.375 0.375 0.375
Ag 0.375 0.375 0.875
Ag 0.375 0.875 0.375
Tc 0.000 0.000 0.000
CELL_PARAMETERS angstrom
-0.949 -0.676 5.176
-4.601 -2.103 1.601
-0.108 -4.888 2.062
! Formation energy from the elements ... 497 meV per atom
! Space-group type ... F-43m (216)
! VASP energy ... -187.96 eV per cell
! Fermi-level density of states ... 0.488 states/eV/atom